1.
Entry from the Alexandria database: a crystal of SrAgOsRh2 relaxed with PBEsol (SCAN).

Formation energy from the elements ... 1.464 eV per atom

a b c (Å): 4.8427 4.8427 4.7948
angles (deg): 90.00 90.00 90.00
Last column: nearest neighbours and their distance in Å.
Space group P4/mmm (No. 123)
Inequivalent atoms, fractional coordinates:
Sr 0.0000 0.0000 0.0000 x1  8 Rh 3.41, 4 Os 3.42
Ag 0.5000 0.5000 0.5000 x1  2 Os 2.40, 4 Rh 2.42
Os 0.5000 0.5000 0.0000 x1  2 Ag 2.40
Rh 0.0000 0.5000 0.5000 x2  2 Ag 2.42

2.
Entry from the Alexandria database: a crystal of CdFe2W relaxed with PBEsol (SCAN).

Formation energy from the elements ... 0.441 eV per atom

a b c (Å): 9.4053 2.7428 4.4929
angles (deg): 90.00 108.36 90.00
Last column: nearest neighbours and their distance in Å.
Space group Cm (No. 8)
Inequivalent atoms, fractional coordinates:
Cd 0.0000 0.0000 0.0000 x2  7 Fe 2.64-2.71, 2 Cd 2.74, 3 W 2.89-2.94
Fe 0.0347 0.5000 0.5246 x2  2 Fe 2.36, 2 W 2.64
Fe 0.2394 0.0000 0.7895 x2  2 Fe 2.36, 2 W 2.60
W 0.2823 0.5000 0.3329 x2  7 Fe 2.60-2.73, 2 W 2.74, 1 Cd 2.89

3.
Entry from the Alexandria database: a crystal of K3Ir relaxed with PBEsol (SCAN).

Formation energy from the elements ... 0.835 eV per atom

a b c (Å): 4.9644 4.9644 4.9644
angles (deg): 90.00 90.00 90.00
Last column: nearest neighbours and their distance in Å.
Space group Pm-3m (No. 221)
Inequivalent atoms, fractional coordinates:
K 0.0000 0.0000 0.5000 x3  8 K 3.51, 4 Ir 3.51
Ir 0.5000 0.5000 0.5000 x1  12 K 3.51

| no. | DOS(E_F) (states/eV per cell) | E (eV/atom) | total magnetization (μB per formula unit) |
| --- | --- | --- | --- |
| 1 | 4.07 | -37.149 | 3.698 |
| 2 | 4.98 | -33.650 | 4.068 |
| 3 | 3.28 | -23.187 | 0.864 |